# SrPrGdCoO6

A relaxed SrPrGdCoO6 crystal (PBE+U, Alexandria via LeMat-Bulk).

a = 5.7368 Å, b = 5.7368 Å, c = 5.7621 Å
α = 115.24°, β = 115.24°, γ = 58.32°
Fractional positions:
Sr1 0.0000 0.0000 0.0000
Pr1 0.5262 0.5262 0.5761
Gd1 0.7628 0.7628 0.2777
Co1 0.2381 0.2381 0.7382
O1 0.0288 0.0288 0.4630
O2 0.0977 0.5510 0.6104
O3 0.4440 0.9651 0.9360
O4 0.5258 0.5258 0.1780
O5 0.5510 0.0977 0.6104
O6 0.9651 0.4440 0.9360

Properties
- total magnetization (μB per formula unit) = 4.1
- symmetry = Cm
- calculated volume (Å³/atom) = 14.08
- crystal system = monoclinic
- total DFT energy (no corrections) (eV/atom) = -7.97
- relative energy among the computed polymorphs (meV/atom) = 26